1.
# PBE-GGA Rb2HgAs, optimized geometry
# **ΔH_f (0 K)**: -0.146 eV per atom
# **Energy above the lowest structure with this stoichiometry**: 0.1365 eV per atom
data_Rb2HgAs
_chemical_formula_sum 'Rb8 Hg4 As4'
_cell_length_a 8.486
_cell_length_b 8.486
_cell_length_c 8.486
_cell_angle_alpha 90.00
_cell_angle_beta 90.00
_cell_angle_gamma 90.00
_space_group_name_H-M_alt 'F m -3 m'
_space_group_IT_number 225
_space_group_name_Hall '-F 4 2 3'
loop_
_atom_site_label
_atom_site_fract_x
_atom_site_fract_y
_atom_site_fract_z
Rb1 0.250 0.250 0.250
Hg1 0.000 0.000 0.000
As1 0.000 0.000 0.500

=====

2.
# PBE-GGA Rb2Hg2As, optimized geometry
# **ΔH_f (0 K)**: -0.305 eV per atom
# **Energy above the lowest structure with this stoichiometry**: 0.0000 eV per atom
data_Rb2Hg2As
_chemical_formula_sum 'Rb8 Hg8 As4'
_cell_length_a 13.268
_cell_length_b 4.720
_cell_length_c 13.374
_cell_angle_alpha 90.00
_cell_angle_beta 113.35
_cell_angle_gamma 90.00
_space_group_name_H-M_alt 'C 1 2/m 1'
_space_group_IT_number 12
_space_group_name_Hall '-C 2y'
loop_
_atom_site_label
_atom_site_fract_x
_atom_site_fract_y
_atom_site_fract_z
Rb1 0.102 0.000 0.392
Rb2 0.201 0.500 0.123
Hg1 0.030 0.000 0.905
Hg2 0.122 0.500 0.630
As1 0.057 0.500 0.813

=====

3.
# PBE-GGA Rb2HgAs, optimized geometry
# **ΔH_f (0 K)**: -0.283 eV per atom
# **Energy above the lowest structure with this stoichiometry**: 0.0000 eV per atom
data_Rb2HgAs
_chemical_formula_sum 'Rb4 Hg2 As2'
_cell_length_a 6.886
_cell_length_b 4.750
_cell_length_c 10.199
_cell_angle_alpha 90.00
_cell_angle_beta 104.79
_cell_angle_gamma 90.00
_space_group_name_H-M_alt 'P 1 21/m 1'
_space_group_IT_number 11
_space_group_name_Hall '-P 2yb'
loop_
_atom_site_label
_atom_site_fract_x
_atom_site_fract_y
_atom_site_fract_z
Rb1 0.209 0.250 0.425
Rb2 0.274 0.750 0.073
Hg1 0.328 0.750 0.723
As1 0.167 0.250 0.782

=====

4.
# PBE-GGA Rb2HgAs, optimized geometry
# **ΔH_f (0 K)**: 0.094 eV per atom
# **Energy above the lowest structure with this stoichiometry**: 0.3771 eV per atom
data_Rb2HgAs
_chemical_formula_sum 'Rb8 Hg4 As4'
_cell_length_a 6.109
_cell_length_b 6.109
_cell_length_c 21.709
_cell_angle_alpha 90.00
_cell_angle_beta 90.00
_cell_angle_gamma 90.00
_space_group_name_H-M_alt 'I -4 2 d'
_space_group_IT_number 122
_space_group_name_Hall 'I -4 2bw'
loop_
_atom_site_label
_atom_site_fract_x
_atom_site_fract_y
_atom_site_fract_z
Rb1 0.224 0.250 0.125
Hg1 0.000 0.000 0.500
As1 0.000 0.000 0.000

=====

5.
# PBE-GGA Rb4Hg2As, optimized geometry
# **ΔH_f (0 K)**: -0.158 eV per atom
data_Rb4Hg2As
_chemical_formula_sum 'Rb8 Hg4 As2'
_cell_length_a 6.912
_cell_length_b 6.912
_cell_length_c 17.324
_cell_angle_alpha 90.00
_cell_angle_beta 90.00
_cell_angle_gamma 90.00
_space_group_name_H-M_alt 'I 4/m m m'
_space_group_IT_number 139
_space_group_name_Hall '-I 4 2'
loop_
_atom_site_label
_atom_site_fract_x
_atom_site_fract_y
_atom_site_fract_z
Rb1 0.000 0.000 0.189
Rb2 0.000 0.500 0.000
Hg1 0.000 0.000 0.408
As1 0.000 0.000 0.000

=====

6.
# PBE-GGA Rb3HgAs2, optimized geometry
# **ΔH_f (0 K)**: -0.232 eV per atom
# **Energy above the lowest structure with this stoichiometry**: 0.0175 eV per atom
data_Rb3HgAs2
_chemical_formula_sum 'Rb12 Hg4 As8'
_cell_length_a 8.388
_cell_length_b 14.235
_cell_length_c 7.977
_cell_angle_alpha 90.00
_cell_angle_beta 90.00
_cell_angle_gamma 90.00
_space_group_name_H-M_alt 'I b a m'
_space_group_IT_number 72
_space_group_name_Hall '-I 2 2c'
loop_
_atom_site_label
_atom_site_fract_x
_atom_site_fract_y
_atom_site_fract_z
Rb1 0.000 0.000 0.250
Rb2 0.191 0.320 0.000
Hg1 0.000 0.500 0.250
As1 0.185 0.418 0.500

=====

7.
# PBE-GGA RbHgAs3, optimized geometry
# **ΔH_f (0 K)**: 1.615 eV per atom
# **Energy above the lowest structure with this stoichiometry**: 1.0798 eV per atom
data_RbHgAs3
_chemical_formula_sum 'Rb1 Hg1 As3'
_cell_length_a 5.798
_cell_length_b 5.798
_cell_length_c 5.798
_cell_angle_alpha 90.00
_cell_angle_beta 90.00
_cell_angle_gamma 90.00
_space_group_name_H-M_alt 'P m -3 m'
_space_group_IT_number 221
_space_group_name_Hall '-P 4 2 3'
loop_
_atom_site_label
_atom_site_fract_x
_atom_site_fract_y
_atom_site_fract_z
Rb1 0.000 0.000 0.000
Hg1 0.500 0.500 0.500
As1 0.000 0.000 0.500

=====

8.
# PBE-GGA Rb2Hg2As, optimized geometry
# **ΔH_f (0 K)**: -0.186 eV per atom
# **Energy above the lowest structure with this stoichiometry**: 0.1188 eV per atom
data_Rb2Hg2As
_chemical_formula_sum 'Rb4 Hg4 As2'
_cell_length_a 7.025
_cell_length_b 7.025
_cell_length_c 8.382
_cell_angle_alpha 90.00
_cell_angle_beta 90.00
_cell_angle_gamma 90.00
_space_group_name_H-M_alt 'I 4/m m m'
_space_group_IT_number 139
_space_group_name_Hall '-I 4 2'
loop_
_atom_site_label
_atom_site_fract_x
_atom_site_fract_y
_atom_site_fract_z
Rb1 0.000 0.500 0.250
Hg1 0.000 0.000 0.176
As1 0.000 0.000 0.500

=====

9.
# PBE-GGA Rb3HgAs2, optimized geometry
# **ΔH_f (0 K)**: -0.250 eV per atom
# **Energy above the lowest structure with this stoichiometry**: 0.0000 eV per atom
data_Rb3HgAs2
_chemical_formula_sum 'Rb12 Hg4 As8'
_cell_length_a 7.794
_cell_length_b 14.670
_cell_length_c 9.354
_cell_angle_alpha 90.00
_cell_angle_beta 90.00
_cell_angle_gamma 90.00
_space_group_name_H-M_alt 'I b a m'
_space_group_IT_number 72
_space_group_name_Hall '-I 2 2c'
loop_
_atom_site_label
_atom_site_fract_x
_atom_site_fract_y
_atom_site_fract_z
Rb1 0.000 0.000 0.250
Rb2 0.000 0.272 0.250
Hg1 0.000 0.500 0.000
As1 0.242 0.384 0.000

=====

10.
# PBE-GGA RbHgAs2Ru, optimized geometry
# **ΔH_f (0 K)**: 2.102 eV per atom
data_RbHgAs2Ru
_chemical_formula_sum 'Rb1 Hg1 As2 Ru1'
_cell_length_a 5.612
_cell_length_b 5.612
_cell_length_c 5.839
_cell_angle_alpha 90.00
_cell_angle_beta 90.00
_cell_angle_gamma 90.00
_space_group_name_H-M_alt 'P 4/m m m'
_space_group_IT_number 123
_space_group_name_Hall '-P 4 2'
loop_
_atom_site_label
_atom_site_fract_x
_atom_site_fract_y
_atom_site_fract_z
Rb1 0.000 0.000 0.000
Hg1 0.000 0.000 0.500
As1 0.000 0.500 0.000
Ru1 0.500 0.500 0.500

=====

11.
# PBE-GGA RbHgAs2S, optimized geometry
# **Energy relative to the elements, uncorrected**: 0.4212 eV/atom
data_RbHgAs2S
_chemical_formula_sum 'Rb1 Hg1 As2 S1'
_cell_length_a 5.314
_cell_length_b 5.314
_cell_length_c 5.433
_cell_angle_alpha 90.00
_cell_angle_beta 90.00
_cell_angle_gamma 90.00
_space_group_name_H-M_alt 'P 4/m m m'
_space_group_IT_number 123
_space_group_name_Hall '-P 4 2'
loop_
_atom_site_label
_atom_site_fract_x
_atom_site_fract_y
_atom_site_fract_z
Rb1 0.000 0.000 0.000
Hg1 0.500 0.500 0.500
As1 0.000 0.500 0.500
S1 0.500 0.500 0.000

=====

12.
# PBE-GGA RbHgAsS4, optimized geometry
# **Energy relative to the elements, uncorrected**: -0.3399 eV/atom
data_RbHgAsS4
_chemical_formula_sum 'Rb2 Hg2 As2 S8'
_cell_length_a 6.550
_cell_length_b 7.468
_cell_length_c 9.289
_cell_angle_alpha 90.00
_cell_angle_beta 105.75
_cell_angle_gamma 90.00
_space_group_name_H-M_alt 'P 1 21/m 1'
_space_group_IT_number 11
_space_group_name_Hall '-P 2yb'
loop_
_atom_site_label
_atom_site_fract_x
_atom_site_fract_y
_atom_site_fract_z
Rb1 0.237 0.250 0.069
Hg1 0.238 0.250 0.611
As1 0.212 0.750 0.295
S1 0.004 0.021 0.710
S2 0.338 0.750 0.104
S3 0.472 0.750 0.506